[1]
VASP calculation (PBE) on an optimized crystal structure of NbSb3O.

Structure (POSCAR):
```
NbSb3O
1.0
-3.006 1.460 4.054
3.195 -2.561 3.291
2.891 4.349 0.577
Sb Nb O
3 1 1
Direct
0.000 0.500 0.000
0.500 0.000 0.000
0.000 0.000 0.500
0.000 0.000 0.000
0.500 0.500 0.500
```

SG: No. 221
VASP energy: -4.824 eV per atom
Energy relative to the elements, uncorrected: 0.655 eV per atom
Energy above the most stable polymorph in this dataset: 558 meV/atom
Crystal system: cubic

---

[2]
VASP calculation (PBE) on an optimized crystal structure of NbSbO4.

Structure (POSCAR):
```
NbSbO4
1.0
-3.531 -1.153 -1.431
2.744 0.241 -6.968
3.235 -5.850 2.271
O Sb Nb
8 2 2
Direct
0.116 0.934 0.232
0.059 0.369 0.119
0.384 0.339 0.768
0.941 0.631 0.881
0.764 0.399 0.528
0.616 0.661 0.232
0.884 0.066 0.768
0.236 0.601 0.472
0.208 0.303 0.417
0.792 0.697 0.583
0.916 0.306 0.832
0.084 0.694 0.168
```

SG: No. 12
VASP energy: -7.614 eV per atom
Energy relative to the elements, uncorrected: -1.943 eV per atom
Crystal system: monoclinic

---

[3]
VASP calculation (PBE) on an optimized crystal structure of NbSbO2.

Structure (POSCAR):
```
NbSbO2
1.0
-6.943 3.113 -0.472
-5.893 4.319 2.175
-5.128 5.617 -0.525
Sb O Nb
1 2 1
Direct
0.500 0.500 0.500
0.087 0.087 0.087
0.913 0.913 0.913
0.000 0.000 0.000
```

SG: No. 166
VASP energy: -6.819 eV per atom
Energy relative to the elements, uncorrected: -0.792 eV per atom
Crystal system: trigonal

---

[4]
VASP calculation (PBE) on an optimized crystal structure of NbSb2O.

Structure (POSCAR):
```
NbSb2O
1.0
-5.126 -4.265 0.139
2.606 -2.958 5.381
-3.030 -1.418 4.823
Sb O Nb
4 2 2
Direct
0.550 0.125 0.250
0.875 0.800 0.750
0.200 0.625 0.250
0.375 0.450 0.750
0.500 0.500 0.000
0.250 0.750 0.500
0.000 0.000 0.000
0.750 0.250 0.500
```

SG: No. 122
VASP energy: -5.777 eV per atom
Energy relative to the elements, uncorrected: 0.041 eV per atom
Crystal system: tetragonal

---

Record-wise total magnetization values, in μB per formula unit: 0.00 0.00 0.00 0.00